Record 1
The following is a DFT calculation (PBE-GGA) of a relaxed structure of CaAgSe2.

Results
DFT total energy: -3.8385 eV per atom
crystal system: monoclinic

abc: 3.970 4.846 5.428
angles: 90.00 105.23 90.00
Fractional coordinates of all 4 atoms:
Ca (0.000, 0.000, 0.000)
Ag (0.526, 0.500, 0.544)
Se (0.335, 0.000, 0.558)
Se (0.519, 0.500, 0.049)

***

Record 2
The following is a DFT calculation (PBE-GGA) of a relaxed structure of FeBSeN2.

Results
DFT total energy: -5.9301 eV per atom
crystal system: tetragonal

abc: 3.219 3.219 6.883
angles: 90.00 90.00 90.00
Fractional coordinates of all 5 atoms:
Fe (0.000, 0.000, 0.000)
B (0.500, 0.500, 0.500)
Se (0.500, 0.500, 0.000)
N (0.000, 0.500, 0.500)
N (0.500, 0.000, 0.500)

***

Record 3
The following is a DFT calculation (PBE-GGA) of a relaxed structure of NdMgSnAu.

Results
formation enthalpy at 0 K: -0.59 eV/atom
DFT total energy: -4.0016 eV per atom
crystal system: cubic

abc: 5.163 5.163 5.163
angles: 60.00 60.00 60.00
Fractional coordinates of all 4 atoms:
Nd (0.000, 0.000, 0.000)
Mg (0.500, 0.500, 0.500)
Sn (0.250, 0.250, 0.250)
Au (0.750, 0.750, 0.750)